Entry from Alexandria via LeMat-Bulk: a relaxed structure of SiTc (GGA-PBE).

## Properties
Its energy above the most stable polymorph in this dataset is 0.566 eV/atom.

Cell and atoms, written as CIF:
```
data_SiTc
_chemical_formula_sum 'Si2 Tc2'
_cell_length_a 2.8097
_cell_length_b 2.8097
_cell_length_c 8.2797
_cell_angle_alpha 90.00
_cell_angle_beta 90.00
_cell_angle_gamma 120.00
_symmetry_space_group_name_H-M 'P -3 m 1'
_symmetry_Int_Tables_number 164
_symmetry_space_group_name_Hall '-P 3 2"'
loop_
_atom_site_label
_atom_site_fract_x
_atom_site_fract_y
_atom_site_fract_z
Si1 0.3333 0.6667 0.1292
Tc1 0.3333 0.6667 0.6262
```

---

Entry from Alexandria via LeMat-Bulk: a relaxed structure of SiTc (GGA-PBE).

## Properties
Its energy above the most stable polymorph in this dataset is 0.692 eV/atom.

Cell and atoms, written as CIF:
```
data_SiTc
_chemical_formula_sum 'Si4 Tc4'
_cell_length_a 4.910
_cell_length_b 4.910
_cell_length_c 4.904
_cell_angle_alpha 90.00
_cell_angle_beta 90.00
_cell_angle_gamma 90.00
_symmetry_space_group_name_H-M 'P 42/m n m'
_symmetry_Int_Tables_number 136
_symmetry_space_group_name_Hall '-P 4n 2n'
loop_
_atom_site_label
_atom_site_fract_x
_atom_site_fract_y
_atom_site_fract_z
Si1 0.204 0.204 0.000
Tc1 0.212 0.212 0.500
```

---

Entry from Alexandria via LeMat-Bulk: a relaxed structure of Si4Tc3 (GGA-PBE).

Cell and atoms, written as CIF:
```
data_Si4Tc3
_chemical_formula_sum 'Si4 Tc3'
_cell_length_a 5.1991
_cell_length_b 5.1991
_cell_length_c 4.3721
_cell_angle_alpha 90.00
_cell_angle_beta 90.00
_cell_angle_gamma 120.00
_symmetry_space_group_name_H-M 'P 6/m m m'
_symmetry_Int_Tables_number 191
_symmetry_space_group_name_Hall '-P 6 2'
loop_
_atom_site_label
_atom_site_fract_x
_atom_site_fract_y
_atom_site_fract_z
Si1 0.0000 0.0000 0.2477
Si2 0.3333 0.6667 0.5000
Tc1 0.0000 0.5000 0.0000
```

---

Entry from Alexandria via LeMat-Bulk: a relaxed structure of SiTc (GGA-PBE).

## Properties
Its energy above the most stable polymorph in this dataset is 0.276 eV/atom.

Cell and atoms, written as CIF:
```
data_SiTc
_chemical_formula_sum 'Si4 Tc4'
_cell_length_a 5.302
_cell_length_b 4.092
_cell_length_c 5.239
_cell_angle_alpha 90.00
_cell_angle_beta 90.00
_cell_angle_gamma 90.00
_symmetry_space_group_name_H-M 'P n m a'
_symmetry_Int_Tables_number 62
_symmetry_space_group_name_Hall '-P 2ac 2n'
loop_
_atom_site_label
_atom_site_fract_x
_atom_site_fract_y
_atom_site_fract_z
Si1 0.144 0.250 0.123
Tc1 0.031 0.250 0.659
```

---

Entry from Alexandria via LeMat-Bulk: a relaxed structure of Si6Tc7 (GGA-PBE).

Cell and atoms, written as CIF:
```
data_Si6Tc7
_chemical_formula_sum 'Si18 Tc21'
_cell_length_a 5.1590
_cell_length_b 5.1590
_cell_length_c 25.7171
_cell_angle_alpha 90.00
_cell_angle_beta 90.00
_cell_angle_gamma 120.00
_symmetry_space_group_name_H-M 'R -3 m'
_symmetry_Int_Tables_number 166
_symmetry_space_group_name_Hall '-R 3 2"'
loop_
_atom_site_label
_atom_site_fract_x
_atom_site_fract_y
_atom_site_fract_z
Si1 0.0000 0.0000 0.0487
Si2 0.0000 0.0000 0.1689
Si3 0.0000 0.0000 0.3349
Tc1 0.0000 0.0000 0.5000
Tc2 0.0046 0.5023 0.9201
```

---

Entry from Alexandria via LeMat-Bulk: a relaxed structure of SiTc2 (GGA-PBE).

## Properties
Its energy above the most stable polymorph in this dataset is 0.240 eV/atom.

Cell and atoms, written as CIF:
```
data_SiTc2
_chemical_formula_sum 'Si3 Tc6'
_cell_length_a 6.1411
_cell_length_b 6.1411
_cell_length_c 3.9072
_cell_angle_alpha 90.00
_cell_angle_beta 90.00
_cell_angle_gamma 120.00
_symmetry_space_group_name_H-M 'P -6 2 m'
_symmetry_Int_Tables_number 189
_symmetry_space_group_name_Hall 'P -6 -2'
loop_
_atom_site_label
_atom_site_fract_x
_atom_site_fract_y
_atom_site_fract_z
Si1 0.0000 0.0000 0.0000
Si2 0.3333 0.6667 0.5000
Tc1 0.0000 0.2491 0.5000
Tc2 0.0000 0.5665 0.0000
```

---

Number 1: ΔE_f (raw) 0.1 eV/f.u., calculated total energy -7.850 eV per atom, magnetization 0.0 μB per formula unit. Number 2: ΔE_f (raw) 0.3 eV/f.u., calculated total energy -7.723 eV per atom, magnetization 0.0 μB per formula unit. Number 3: ΔE_f (raw) 1.1 eV/f.u., calculated total energy -7.379 eV per atom, magnetization 0.0 μB per formula unit. Number 4: ΔE_f (raw) -0.5 eV/f.u., calculated total energy -8.139 eV per atom, magnetization 0.0 μB per formula unit. Number 5: ΔE_f (raw) 1.4 eV/f.u., calculated total energy -7.974 eV per atom, magnetization 0.0 μB per formula unit. Number 6: ΔE_f (raw) -0.5 eV/f.u., calculated total energy -8.889 eV per atom, magnetization 0.0 μB per formula unit.